Compound: Al2SiHg
Source: Alexandria via LeMat-Bulk
Functional: GGA-PBE
Structure: optimized geometry

Summary:
formation energy (no corrections) = 0.3402 eV per atom
volume = 75 Å³ per cell
SG = Fm-3m
relative energy among the computed polymorphs = 0.1665 eV/atom
total moment = 0.00 μB/f.u.

Geometry as CIF:
```
data_Al2SiHg
_chemical_formula_sum 'Al2 Si1 Hg1'
_cell_length_a 4.729
_cell_length_b 4.729
_cell_length_c 4.729
_cell_angle_alpha 60.00
_cell_angle_beta 60.00
_cell_angle_gamma 60.00
_space_group_name_H-M_alt 'P 1'
_space_group_IT_number 1
loop_
_space_group_symop_operation_xyz
'x,y,z'
loop_
_atom_site_label
_atom_site_type_symbol
_atom_site_fract_x
_atom_site_fract_y
_atom_site_fract_z
_atom_site_occupancy
Al1 Al 0.250 0.250 0.250 1
Al2 Al 0.750 0.750 0.750 1
Si1 Si 0.000 0.000 0.000 1
Hg1 Hg 0.500 0.500 0.500 1
```